# 1
The following is a DFT calculation (GGA-PBE) of an optimized crystal structure of Li2NdMg.

Output
- Offset from the most stable computed form: 0.000 eV/atom
- Magnetization: 0.000 μB per atom
- Symmetry: No. 225

Lattice parameters (Å, degrees): 5.121 5.121 5.121 60.00 60.00 60.00
Sites, in units of the cell vectors:
Li (0.250, 0.250, 0.250)
Li (0.750, 0.750, 0.750)
Nd (0.000, 0.000, 0.000)
Mg (0.500, 0.500, 0.500)

***

# 2
The following is a DFT calculation (GGA-PBE) of an optimized crystal structure of LaIrIN2.

Output
- Offset from the most stable computed form: 0.761 eV/atom
- Formation energy (no corrections): 6.8 eV per formula unit
- Magnetization: 0.318 μB per atom
- Symmetry: No. 123

Lattice parameters (Å, degrees): 4.158 4.158 7.012 90.00 90.00 90.00
Sites, in units of the cell vectors:
La (0.000, 0.000, 0.000)
Ir (0.500, 0.500, 0.500)
I (0.000, 0.000, 0.500)
N (0.000, 0.500, 0.000)
N (0.500, 0.000, 0.000)

***

# 3
The following is a DFT calculation (GGA-PBE) of an optimized crystal structure of La6Tb2Dy5.

Output
- Uncorrected energy: -4.65 eV/atom
- Magnetization: 0.000 μB per atom
- Symmetry: No. 55

Lattice parameters (Å, degrees): 11.821 20.902 3.653 90.00 90.00 90.00
Sites, in units of the cell vectors:
La (0.059, 0.080, 0.000)
La (0.082, 0.367, 0.000)
La (0.174, 0.634, 0.500)
La (0.326, 0.134, 0.500)
La (0.418, 0.867, 0.000)
La (0.441, 0.580, 0.000)
La (0.559, 0.420, 0.000)
La (0.582, 0.133, 0.000)
La (0.674, 0.866, 0.500)
La (0.826, 0.366, 0.500)
La (0.918, 0.633, 0.000)
La (0.941, 0.920, 0.000)
Tb (0.164, 0.790, 0.000)
Tb (0.336, 0.290, 0.000)
Tb (0.664, 0.710, 0.000)
Tb (0.836, 0.210, 0.000)
Dy (0.000, 0.500, 0.500)
Dy (0.094, 0.226, 0.500)
Dy (0.200, 0.943, 0.500)
Dy (0.300, 0.443, 0.500)
Dy (0.406, 0.726, 0.500)
Dy (0.500, 0.000, 0.500)
Dy (0.594, 0.274, 0.500)
Dy (0.700, 0.557, 0.500)
Dy (0.800, 0.057, 0.500)
Dy (0.906, 0.774, 0.500)

***

# 4
The following is a DFT calculation (GGA-PBE) of an optimized crystal structure of Nd6Co2Hg.

Output
- Uncorrected energy: -4.96 eV/atom
- Magnetization: 0.000 μB per atom
- Symmetry: No. 71

Lattice parameters (Å, degrees): 8.632 8.632 8.632 112.63 108.37 107.47
Sites, in units of the cell vectors:
Nd (0.030, 0.233, 0.797)
Nd (0.181, 0.285, 0.466)
Nd (0.181, 0.715, 0.896)
Nd (0.325, 0.012, 0.687)
Nd (0.325, 0.638, 0.313)
Nd (0.436, 0.233, 0.203)
Nd (0.564, 0.767, 0.797)
Nd (0.675, 0.362, 0.687)
Nd (0.675, 0.988, 0.313)
Nd (0.819, 0.285, 0.104)
Nd (0.819, 0.715, 0.534)
Nd (0.970, 0.767, 0.203)
Co (0.112, 0.612, 0.500)
Co (0.343, 0.000, 0.343)
Co (0.657, 0.000, 0.657)
Co (0.888, 0.388, 0.500)
Hg (0.000, 0.000, 0.000)
Hg (0.500, 0.500, 0.000)

***

Number 4 is which compound?
Nd6Co2Hg

***

Which value of magnetization does entry 2 give?
0.318 μB per atom